# Ca2SnOs

Crystalline Ca2SnOs at its relaxed geometry (PBE, Alexandria via LeMat-Bulk).

Cell and atoms, written as CIF:
```
data_Ca2SnOs
_space_group_name_H-M_alt 'P 1'
_space_group_IT_number 1
_space_group_name_Hall 'P 1'
_cell_length_a 10.2759
_cell_length_b 10.2759
_cell_length_c 7.7091
_cell_angle_alpha 48.20
_cell_angle_beta 48.20
_cell_angle_gamma 90.00
loop_
_atom_site_label
_atom_site_type_symbol
_atom_site_fract_x
_atom_site_fract_y
_atom_site_fract_z
Os1 Os 0.7500 0.2500 0.5000
Os2 Os 0.0000 0.0000 0.0000
Ca1 Ca 0.7839 0.1250 0.2500
Ca2 Ca 0.9661 0.6250 0.2500
Ca3 Ca 0.8750 0.0339 0.7500
Ca4 Ca 0.3750 0.2161 0.7500
Sn1 Sn 0.5000 0.5000 0.0000
Sn2 Sn 0.2500 0.7500 0.5000
```

Values from the calculation:
- DOS at the Fermi energy: 6.578 states/eV per cell
- ΔE_f: 0.184 eV per atom
- Space group: I-42d, No. 122

# Ca3SnOs

Crystalline Ca3SnOs at its relaxed geometry (PBE, Alexandria via LeMat-Bulk).

Cell and atoms, written as CIF:
```
data_Ca3SnOs
_space_group_name_H-M_alt 'P 1'
_space_group_IT_number 1
_space_group_name_Hall 'P 1'
_cell_length_a 5.4464
_cell_length_b 5.4464
_cell_length_c 5.4464
_cell_angle_alpha 90.00
_cell_angle_beta 90.00
_cell_angle_gamma 90.00
loop_
_atom_site_label
_atom_site_type_symbol
_atom_site_fract_x
_atom_site_fract_y
_atom_site_fract_z
Os1 Os 0.0000 0.0000 0.0000
Ca1 Ca 0.0000 0.5000 0.0000
Ca2 Ca 0.5000 0.0000 0.0000
Ca3 Ca 0.0000 0.0000 0.5000
Sn1 Sn 0.5000 0.5000 0.5000
```

Values from the calculation:
- DOS at the Fermi energy: 7.519 states/eV per cell
- Offset from the most stable computed form: 0 meV per atom
- ΔE_f: 0.263 eV per atom
- Space group: Pm-3m, No. 221

# SrCaOs

Crystalline SrCaOs at its relaxed geometry (PBE, Alexandria via LeMat-Bulk).

Cell and atoms, written as CIF:
```
data_SrCaOs
_space_group_name_H-M_alt 'P 1'
_space_group_IT_number 1
_space_group_name_Hall 'P 1'
_cell_length_a 4.9919
_cell_length_b 4.9919
_cell_length_c 4.9919
_cell_angle_alpha 60.00
_cell_angle_beta 60.00
_cell_angle_gamma 60.00
loop_
_atom_site_label
_atom_site_type_symbol
_atom_site_fract_x
_atom_site_fract_y
_atom_site_fract_z
Sr1 Sr 0.0000 0.0000 0.0000
Ca1 Ca 0.5000 0.5000 0.5000
Os1 Os 0.7500 0.7500 0.7500
```

Values from the calculation:
- DOS at the Fermi energy: 6.019 states/eV per cell
- Offset from the most stable computed form: 145 meV per atom
- ΔE_f: 0.698 eV per atom
- Space group: F-43m, No. 216

# Sr2CaOs

Crystalline Sr2CaOs at its relaxed geometry (PBE, Alexandria via LeMat-Bulk).

Cell and atoms, written as CIF:
```
data_Sr2CaOs
_space_group_name_H-M_alt 'P 1'
_space_group_IT_number 1
_space_group_name_Hall 'P 1'
_cell_length_a 11.5662
_cell_length_b 11.5662
_cell_length_c 11.5662
_cell_angle_alpha 18.96
_cell_angle_beta 18.96
_cell_angle_gamma 18.96
loop_
_atom_site_label
_atom_site_type_symbol
_atom_site_fract_x
_atom_site_fract_y
_atom_site_fract_z
Sr1 Sr 0.4770 0.4770 0.4770
Sr2 Sr 0.0230 0.0230 0.0230
Os1 Os 0.7500 0.7500 0.7500
Ca1 Ca 0.2500 0.2500 0.2500
```

Values from the calculation:
- DOS at the Fermi energy: 3.025 states/eV per cell
- Offset from the most stable computed form: 229 meV per atom
- ΔE_f: 0.682 eV per atom
- Space group: R-3m, No. 166

# SrCa2Os

Crystalline SrCa2Os at its relaxed geometry (PBE, Alexandria via LeMat-Bulk).

Cell and atoms, written as CIF:
```
data_SrCa2Os
_space_group_name_H-M_alt 'P 1'
_space_group_IT_number 1
_space_group_name_Hall 'P 1'
_cell_length_a 5.3174
_cell_length_b 5.3174
_cell_length_c 5.3174
_cell_angle_alpha 60.00
_cell_angle_beta 60.00
_cell_angle_gamma 60.00
loop_
_atom_site_label
_atom_site_type_symbol
_atom_site_fract_x
_atom_site_fract_y
_atom_site_fract_z
Os1 Os 0.5000 0.5000 0.5000
Ca1 Ca 0.2500 0.2500 0.2500
Ca2 Ca 0.7500 0.7500 0.7500
Sr1 Sr 0.0000 0.0000 0.0000
```

Values from the calculation:
- DOS at the Fermi energy: 3.409 states/eV per cell
- Offset from the most stable computed form: 115 meV per atom
- ΔE_f: 0.510 eV per atom
- Space group: Fm-3m, No. 225

# SrCa2Os

Crystalline SrCa2Os at its relaxed geometry (PBE, Alexandria via LeMat-Bulk).

Cell and atoms, written as CIF:
```
data_SrCa2Os
_space_group_name_H-M_alt 'P 1'
_space_group_IT_number 1
_space_group_name_Hall 'P 1'
_cell_length_a 8.2207
_cell_length_b 8.2207
_cell_length_c 8.2207
_cell_angle_alpha 155.48
_cell_angle_beta 144.01
_cell_angle_gamma 44.03
loop_
_atom_site_label
_atom_site_type_symbol
_atom_site_fract_x
_atom_site_fract_y
_atom_site_fract_z
Ca1 Ca 0.3472 0.8472 0.5000
Ca2 Ca 0.9965 0.9965 0.0000
Os1 Os 0.4972 0.4972 0.0000
Sr1 Sr 0.6591 0.1591 0.5000
```

Values from the calculation:
- DOS at the Fermi energy: 3.951 states/eV per cell
- Offset from the most stable computed form: 13 meV per atom
- ΔE_f: 0.408 eV per atom
- Space group: Imm2, No. 44

# SrCa2Os

Crystalline SrCa2Os at its relaxed geometry (PBE, Alexandria via LeMat-Bulk).

Cell and atoms, written as CIF:
```
data_SrCa2Os
_space_group_name_H-M_alt 'P 1'
_space_group_IT_number 1
_space_group_name_Hall 'P 1'
_cell_length_a 5.3551
_cell_length_b 5.3551
_cell_length_c 5.3551
_cell_angle_alpha 60.00
_cell_angle_beta 60.00
_cell_angle_gamma 60.00
loop_
_atom_site_label
_atom_site_type_symbol
_atom_site_fract_x
_atom_site_fract_y
_atom_site_fract_z
Ca1 Ca 0.2500 0.2500 0.2500
Ca2 Ca 0.0000 0.0000 0.0000
Os1 Os 0.5000 0.5000 0.5000
Sr1 Sr 0.7500 0.7500 0.7500
```

Values from the calculation:
- DOS at the Fermi energy: 1.249 states/eV per cell
- Offset from the most stable computed form: 130 meV per atom
- ΔE_f: 0.525 eV per atom
- Space group: F-43m, No. 216

# SrCa2Os

Crystalline SrCa2Os at its relaxed geometry (PBE, Alexandria via LeMat-Bulk).

Cell and atoms, written as CIF:
```
data_SrCa2Os
_space_group_name_H-M_alt 'P 1'
_space_group_IT_number 1
_space_group_name_Hall 'P 1'
_cell_length_a 4.7874
_cell_length_b 4.7874
_cell_length_c 4.7870
_cell_angle_alpha 90.00
_cell_angle_beta 90.00
_cell_angle_gamma 89.99
loop_
_atom_site_label
_atom_site_type_symbol
_atom_site_fract_x
_atom_site_fract_y
_atom_site_fract_z
Sr1 Sr 0.0000 0.5000 0.5000
Ca1 Ca 0.5000 0.5000 0.0000
Ca2 Ca 0.0000 0.0000 0.0000
Os1 Os 0.5000 0.0000 0.5000
```

Values from the calculation:
- DOS at the Fermi energy: 1.848 states/eV per cell
- Offset from the most stable computed form: 189 meV per atom
- ΔE_f: 0.584 eV per atom
- Space group: P4/mmm, No. 123

# SrCa2Os

Crystalline SrCa2Os at its relaxed geometry (PBE, Alexandria via LeMat-Bulk).

Cell and atoms, written as CIF:
```
data_SrCa2Os
_space_group_name_H-M_alt 'P 1'
_space_group_IT_number 1
_space_group_name_Hall 'P 1'
_cell_length_a 5.8850
_cell_length_b 5.8850
_cell_length_c 6.6245
_cell_angle_alpha 59.69
_cell_angle_beta 59.69
_cell_angle_gamma 41.95
loop_
_atom_site_label
_atom_site_type_symbol
_atom_site_fract_x
_atom_site_fract_y
_atom_site_fract_z
Ca1 Ca 0.8093 0.8093 0.6427
Ca2 Ca 0.0055 0.0055 0.9289
Sr1 Sr 0.1902 0.1902 0.2692
Os1 Os 0.4950 0.4950 0.6591
```

Values from the calculation:
- DOS at the Fermi energy: 2.562 states/eV per cell
- Offset from the most stable computed form: 0 meV per atom
- ΔE_f: 0.395 eV per atom
- Space group: Cm, No. 8

# Sr2CaOs

Crystalline Sr2CaOs at its relaxed geometry (PBE, Alexandria via LeMat-Bulk).

Cell and atoms, written as CIF:
```
data_Sr2CaOs
_space_group_name_H-M_alt 'P 1'
_space_group_IT_number 1
_space_group_name_Hall 'P 1'
_cell_length_a 8.4885
_cell_length_b 4.9152
_cell_length_c 4.8688
_cell_angle_alpha 90.03
_cell_angle_beta 54.96
_cell_angle_gamma 125.39
loop_
_atom_site_label
_atom_site_type_symbol
_atom_site_fract_x
_atom_site_fract_y
_atom_site_fract_z
Sr1 Sr 0.0000 0.0000 0.0000
Sr2 Sr 0.5000 0.0000 0.5000
Os1 Os 0.5000 0.5000 0.0000
Ca1 Ca 0.0000 0.5000 0.5000
```

Values from the calculation:
- DOS at the Fermi energy: 2.071 states/eV per cell
- Offset from the most stable computed form: 210 meV per atom
- ΔE_f: 0.664 eV per atom
- Space group: P4/mmm, No. 123

# SrCaOs

Crystalline SrCaOs at its relaxed geometry (PBE, Alexandria via LeMat-Bulk).

Cell and atoms, written as CIF:
```
data_SrCaOs
_space_group_name_H-M_alt 'P 1'
_space_group_IT_number 1
_space_group_name_Hall 'P 1'
_cell_length_a 5.0360
_cell_length_b 5.0360
_cell_length_c 3.4063
_cell_angle_alpha 90.00
_cell_angle_beta 90.00
_cell_angle_gamma 120.00
loop_
_atom_site_label
_atom_site_type_symbol
_atom_site_fract_x
_atom_site_fract_y
_atom_site_fract_z
Os1 Os 0.6667 0.3333 0.2882
Ca1 Ca 0.0000 0.0000 0.0705
Sr1 Sr 0.3333 0.6667 0.6413
```

Values from the calculation:
- DOS at the Fermi energy: 3.197 states/eV per cell
- Offset from the most stable computed form: 171 meV per atom
- ΔE_f: 0.725 eV per atom
- Space group: P3m1, No. 156

# Sr2CaOs

Crystalline Sr2CaOs at its relaxed geometry (PBE, Alexandria via LeMat-Bulk).

Cell and atoms, written as CIF:
```
data_Sr2CaOs
_space_group_name_H-M_alt 'P 1'
_space_group_IT_number 1
_space_group_name_Hall 'P 1'
_cell_length_a 3.6501
_cell_length_b 3.6484
_cell_length_c 10.8383
_cell_angle_alpha 70.31
_cell_angle_beta 90.00
_cell_angle_gamma 90.00
loop_
_atom_site_label
_atom_site_type_symbol
_atom_site_fract_x
_atom_site_fract_y
_atom_site_fract_z
Sr1 Sr 0.5000 0.2337 0.2664
Sr2 Sr 0.0000 0.0864 0.9134
Os1 Os 0.5000 0.7645 0.7355
Ca1 Ca 0.0000 0.4154 0.5847
```

Values from the calculation:
- DOS at the Fermi energy: 5.220 states/eV per cell
- Offset from the most stable computed form: 27 meV per atom
- ΔE_f: 0.480 eV per atom
- Space group: P4mm, No. 99

# SrCaOs

Crystalline SrCaOs at its relaxed geometry (PBE, Alexandria via LeMat-Bulk).

Cell and atoms, written as CIF:
```
data_SrCaOs
_space_group_name_H-M_alt 'P 1'
_space_group_IT_number 1
_space_group_name_Hall 'P 1'
_cell_length_a 7.6781
_cell_length_b 7.6781
_cell_length_c 3.4958
_cell_angle_alpha 76.84
_cell_angle_beta 76.84
_cell_angle_gamma 26.32
loop_
_atom_site_label
_atom_site_type_symbol
_atom_site_fract_x
_atom_site_fract_y
_atom_site_fract_z
Sr1 Sr 0.7104 0.7104 0.2896
Ca1 Ca 0.9512 0.9512 0.0488
Os1 Os 0.3384 0.3384 0.6616
```

Values from the calculation:
- DOS at the Fermi energy: 3.238 states/eV per cell
- Offset from the most stable computed form: 0 meV per atom
- ΔE_f: 0.554 eV per atom
- Space group: I4mm, No. 107

# Sr3CaOs

Crystalline Sr3CaOs at its relaxed geometry (PBE, Alexandria via LeMat-Bulk).

Cell and atoms, written as CIF:
```
data_Sr3CaOs
_space_group_name_H-M_alt 'P 1'
_space_group_IT_number 1
_space_group_name_Hall 'P 1'
_cell_length_a 5.9414
_cell_length_b 5.9414
_cell_length_c 5.9414
_cell_angle_alpha 90.00
_cell_angle_beta 90.00
_cell_angle_gamma 90.00
loop_
_atom_site_label
_atom_site_type_symbol
_atom_site_fract_x
_atom_site_fract_y
_atom_site_fract_z
Os1 Os 0.0000 0.0000 0.0000
Sr1 Sr 0.5000 0.0000 0.0000
Sr2 Sr 0.0000 0.0000 0.5000
Sr3 Sr 0.0000 0.5000 0.0000
Ca1 Ca 0.5000 0.5000 0.5000
```

Values from the calculation:
- DOS at the Fermi energy: 6.855 states/eV per cell
- Offset from the most stable computed form: 0 meV per atom
- ΔE_f: 0.405 eV per atom
- Space group: Pm-3m, No. 221

# Sr2CaOs

Crystalline Sr2CaOs at its relaxed geometry (PBE, Alexandria via LeMat-Bulk).

Cell and atoms, written as CIF:
```
data_Sr2CaOs
_space_group_name_H-M_alt 'P 1'
_space_group_IT_number 1
_space_group_name_Hall 'P 1'
_cell_length_a 7.5987
_cell_length_b 7.5987
_cell_length_c 7.5987
_cell_angle_alpha 152.21
_cell_angle_beta 136.70
_cell_angle_gamma 52.23
loop_
_atom_site_label
_atom_site_type_symbol
_atom_site_fract_x
_atom_site_fract_y
_atom_site_fract_z
Os1 Os 0.7462 0.2462 0.5000
Sr1 Sr 0.9209 0.9209 0.0000
Sr2 Sr 0.2476 0.7476 0.5000
Ca1 Ca 0.5853 0.5853 0.0000
```

Values from the calculation:
- DOS at the Fermi energy: 3.965 states/eV per cell
- Offset from the most stable computed form: 10 meV per atom
- ΔE_f: 0.463 eV per atom
- Space group: Imm2, No. 44